Entry 1:
4
Lattice="1.7098 0.0000 6.0922 -0.8549 1.4808 6.0922 -0.8549 -1.4808 6.0922" Properties=species:S:1:pos:R:3 comment="GePdN2 | Alexandria via LeMat-Bulk | PBE | optimized geometry" space_group="No. 166" formation_energy_uncorrected_ev_per_atom=0.457 pbc="T T T"
Ge 0.0000 0.0000 9.1383
Pd 0.0000 0.0000 0.0000
N 0.0000 0.0000 16.2953
N 0.0000 0.0000 1.9814

Entry 2:
6
Lattice="-3.4248 2.4457 -0.5935 -0.4569 -4.1755 0.6478 -0.5070 1.4121 8.7443" Properties=species:S:1:pos:R:3 comment="AcCeAl2Si2 | Alexandria via LeMat-Bulk | PBE | optimized geometry" space_group="No. 164" formation_energy_uncorrected_ev_per_atom=-0.569 pbc="T T T"
Ac 0.0000 0.0000 0.0000
Ce -0.2535 0.7060 4.3722
Al -2.5711 0.6161 2.1579
Al -1.8177 -0.9338 6.6407
Si -2.8067 1.2723 6.2214
Si -1.5821 -1.5900 2.5772